Record 1
# KUAgS3

KUAgS3 after structural relaxation (PBE, OQMD via LeMat-Bulk).

Computed properties:
Its space-group type is Cmcm (63). As for the crystal system: orthorhombic. The magnetization is 2.0 μB per formula unit.

a b c (Å): 7.390 7.390 10.478
angles (deg): 90.00 90.00 147.88
Atoms (fractional coordinates):
K  0.238  0.762  0.750
K  0.762  0.238  0.250
U  0.500  0.500  0.000
U  0.500  0.500  0.500
Ag  0.048  0.952  0.250
Ag  0.952  0.048  0.750
S  0.125  0.875  0.038
S  0.125  0.875  0.462
S  0.439  0.561  0.250
S  0.561  0.439  0.750
S  0.875  0.125  0.538
S  0.875  0.125  0.962

---

Record 2
# Co6Re7

Co6Re7 after structural relaxation (PBE, OQMD via LeMat-Bulk).

Computed properties:
The excess energy over the best structure of this formula in the dataset is 0 meV/atom. Its formation energy from the elements is -0.018 eV per atom. Its space-group type is R-3m (166). As for the crystal system: trigonal. The magnetization is 0.0 μB per formula unit.

a b c (Å): 9.058 9.058 9.058
angles (deg): 29.87 29.87 29.87
Atoms (fractional coordinates):
Co  0.090  0.090  0.584
Co  0.090  0.584  0.090
Co  0.416  0.910  0.910
Co  0.584  0.090  0.090
Co  0.910  0.416  0.910
Co  0.910  0.910  0.416
Re  0.000  0.000  0.000
Re  0.162  0.162  0.162
Re  0.350  0.350  0.350
Re  0.452  0.452  0.452
Re  0.548  0.548  0.548
Re  0.650  0.650  0.650
Re  0.838  0.838  0.838

---

Record 3
# DyS2F2

DyS2F2 after structural relaxation (PBE, OQMD via LeMat-Bulk).

Computed properties:
Its space-group type is C2/m (12). As for the crystal system: monoclinic. The magnetization is 0.0 μB per formula unit.

a b c (Å): 6.976 6.976 5.510
angles (deg): 100.39 100.39 127.33
Atoms (fractional coordinates):
Dy  0.181  0.819  0.000
Dy  0.819  0.181  0.000
S  0.146  0.146  0.342
S  0.301  0.301  0.089
S  0.699  0.699  0.911
S  0.854  0.854  0.658
F  0.046  0.581  0.250
F  0.419  0.954  0.750
F  0.581  0.046  0.250
F  0.954  0.419  0.750

---

Record 4
# AgHgSeI

AgHgSeI after structural relaxation (PBE, OQMD via LeMat-Bulk).

Computed properties:
Its space-group type is Pmma (51). As for the crystal system: orthorhombic.

a b c (Å): 10.465 4.753 10.345
angles (deg): 90.00 90.00 90.00
Atoms (fractional coordinates):
Ag  0.100  0.000  0.215
Ag  0.400  0.000  0.215
Ag  0.600  0.000  0.785
Ag  0.900  0.000  0.785
Hg  0.000  0.500  0.500
Hg  0.250  0.500  0.772
Hg  0.500  0.500  0.500
Hg  0.750  0.500  0.228
Se  0.008  0.500  0.745
Se  0.492  0.500  0.745
Se  0.508  0.500  0.255
Se  0.992  0.500  0.255
I  0.250  0.000  0.466
I  0.250  0.000  0.987
I  0.750  0.000  0.013
I  0.750  0.000  0.534

---

Record 5
# Ba5LiMo2N7Cl2

Ba5LiMo2N7Cl2 after structural relaxation (PBE, OQMD via LeMat-Bulk).

Computed properties:
Its space-group type is P2_1/m (11). As for the crystal system: monoclinic. The magnetization is 0.0 μB per formula unit.

a b c (Å): 11.166 6.091 11.248
angles (deg): 90.00 95.84 90.00
Atoms (fractional coordinates):
Ba  0.003  0.250  0.121
Ba  0.125  0.750  0.561
Ba  0.296  0.750  0.294
Ba  0.308  0.250  0.887
Ba  0.483  0.750  0.634
Ba  0.517  0.250  0.366
Ba  0.692  0.750  0.113
Ba  0.704  0.250  0.706
Ba  0.875  0.250  0.439
Ba  0.997  0.750  0.879
Li  0.172  0.250  0.375
Li  0.828  0.750  0.625
Mo  0.027  0.250  0.726
Mo  0.326  0.250  0.585
Mo  0.674  0.750  0.415
Mo  0.973  0.750  0.274
N  0.060  0.504  0.327
N  0.060  0.996  0.327
N  0.062  0.250  0.892
N  0.180  0.250  0.662
N  0.332  0.007  0.488
N  0.332  0.493  0.488
N  0.453  0.250  0.707
N  0.547  0.750  0.293
N  0.668  0.507  0.512
N  0.668  0.993  0.512
N  0.820  0.750  0.338
N  0.938  0.750  0.108
N  0.940  0.004  0.673
N  0.940  0.496  0.673
Cl  0.290  0.750  0.859
Cl  0.294  0.250  0.166
Cl  0.706  0.750  0.834
Cl  0.710  0.250  0.141

---

Record 6
# BaLuTa

BaLuTa after structural relaxation (PBE, OQMD via LeMat-Bulk).

Computed properties:
The excess energy over the best structure of this formula in the dataset is 516 meV/atom. Its space-group type is F-43m (216). As for the crystal system: cubic. The magnetization is 2.1 μB per formula unit.

a b c (Å): 5.131 5.131 5.131
angles (deg): 60.00 60.00 60.00
Atoms (fractional coordinates):
Ba  0.000  0.000  0.000
Lu  0.750  0.750  0.750
Ta  0.250  0.250  0.250

---

Record 7
# NbCoCuAs

NbCoCuAs after structural relaxation (PBE, OQMD via LeMat-Bulk).

Computed properties:
The excess energy over the best structure of this formula in the dataset is 0 meV/atom. Its space-group type is F-43m (216). As for the crystal system: cubic. The magnetization is 0.1 μB per formula unit.

a b c (Å): 4.302 4.302 4.302
angles (deg): 60.00 60.00 60.00
Atoms (fractional coordinates):
Nb  0.000  0.000  0.000
Co  0.750  0.750  0.750
Cu  0.500  0.500  0.500
As  0.250  0.250  0.250

---

Record 8
# HoSiAg

HoSiAg after structural relaxation (PBE, OQMD via LeMat-Bulk).

Computed properties:
Its space-group type is F-43m (216). As for the crystal system: cubic. The magnetization is 0.0 μB per formula unit.

a b c (Å): 4.569 4.569 4.569
angles (deg): 60.00 60.00 60.00
Atoms (fractional coordinates):
Ho  0.000  0.000  0.000
Si  0.750  0.750  0.750
Ag  0.500  0.500  0.500

---

Record 9
# Sm2Y2CBr3Cl2

Sm2Y2CBr3Cl2 after structural relaxation (PBE, OQMD via LeMat-Bulk).

Computed properties:
The excess energy over the best structure of this formula in the dataset is 1 meV/atom. Its space-group type is C2/m (12). As for the crystal system: monoclinic. The magnetization is 0.1 μB per formula unit.

a b c (Å): 8.881 8.881 8.307
angles (deg): 102.80 102.80 25.07
Atoms (fractional coordinates):
Sm  0.003  0.003  0.297
Sm  0.997  0.997  0.703
Y  0.358  0.358  0.425
Y  0.642  0.642  0.575
C  0.500  0.500  0.500
Br  0.170  0.170  0.836
Br  0.500  0.500  0.000
Br  0.830  0.830  0.164
Cl  0.174  0.174  0.359
Cl  0.826  0.826  0.641

---

Record 10
# TcBi2Pt

TcBi2Pt after structural relaxation (PBE, OQMD via LeMat-Bulk).

Computed properties:
Its space-group type is F-43m (216). As for the crystal system: cubic. The magnetization is 0.0 μB per formula unit.

a b c (Å): 4.939 4.939 4.939
angles (deg): 60.00 60.00 60.00
Atoms (fractional coordinates):
Tc  0.000  0.000  0.000
Bi  0.500  0.500  0.500
Bi  0.750  0.750  0.750
Pt  0.250  0.250  0.250

---

Record 11
# La2Ge4PtAu

La2Ge4PtAu after structural relaxation (PBE, OQMD via LeMat-Bulk).

Computed properties:
Its space-group type is Amm2 (38). As for the crystal system: orthorhombic. The magnetization is 0.0 μB per formula unit.

a b c (Å): 4.491 9.084 9.084
angles (deg): 28.34 90.00 90.00
Atoms (fractional coordinates):
La  0.000  0.000  0.000
La  0.500  0.213  0.213
Ge  0.000  0.358  0.358
Ge  0.000  0.635  0.635
Ge  0.500  0.568  0.568
Ge  0.500  0.858  0.858
Pt  0.500  0.426  0.426
Au  0.000  0.777  0.777

---

Record 12
# MgBeBiIr

MgBeBiIr after structural relaxation (PBE, OQMD via LeMat-Bulk).

Computed properties:
The excess energy over the best structure of this formula in the dataset is 0 meV/atom. Its space-group type is F-43m (216). As for the crystal system: cubic. The magnetization is 0.0 μB per formula unit.

a b c (Å): 4.603 4.603 4.603
angles (deg): 60.00 60.00 60.00
Atoms (fractional coordinates):
Mg  0.000  0.000  0.000
Be  0.750  0.750  0.750
Bi  0.250  0.250  0.250
Ir  0.500  0.500  0.500

---

| no. | final energy (eV for the cell shown) |
| --- | --- |
| 1 | -68.6 |
| 2 | -129.8 |
| 3 | -57.1 |
| 4 | -36.4 |
| 5 | -229.4 |
| 6 | -12.8 |
| 7 | -25.3 |
| 8 | -14.0 |
| 9 | -55.8 |
| 10 | -21.7 |
| 11 | -44.1 |
| 12 | -17.1 |